(1)
Hf2ReOs: optimized geometry, PBEsol.

Output
Raw total energy: -12.16 eV/atom
ΔH_f (0 K): -520 meV/atom
Mass density: 18.16 g cm⁻³

CIF file:
```
data_Hf2ReOs
_chemical_formula_sum 'Hf8 Re4 Os4'
_symmetry_space_group_name_H-M 'F m -3 m'
_symmetry_Int_Tables_number 225
_symmetry_space_group_name_Hall '-F 4 2 3'
_cell_length_a 6.449
_cell_length_b 6.449
_cell_length_c 6.449
_cell_angle_alpha 90.00
_cell_angle_beta 90.00
_cell_angle_gamma 90.00
loop_
_atom_site_label
_atom_site_type_symbol
_atom_site_fract_x
_atom_site_fract_y
_atom_site_fract_z
Hf1 Hf 0.250 0.250 0.250
Re1 Re 0.000 0.000 0.000
Os1 Os 0.000 0.000 0.500
```

***

(2)
Cr2AgP: optimized geometry, PBEsol.

Output
Raw total energy: -7.13 eV/atom
ΔH_f (0 K): 264 meV/atom
Mass density: 7.92 g cm⁻³

CIF file:
```
data_Cr2AgP
_chemical_formula_sum 'Cr6 Ag3 P3'
_symmetry_space_group_name_H-M 'R -3 m'
_symmetry_Int_Tables_number 166
_symmetry_space_group_name_Hall '-R 3 2"'
_cell_length_a 2.6854
_cell_length_b 2.6854
_cell_length_c 24.4530
_cell_angle_alpha 90.00
_cell_angle_beta 90.00
_cell_angle_gamma 120.00
loop_
_atom_site_label
_atom_site_type_symbol
_atom_site_fract_x
_atom_site_fract_y
_atom_site_fract_z
Cr1 Cr 0.0000 0.0000 0.2393
Ag1 Ag 0.0000 0.0000 0.0000
P1 P 0.0000 0.0000 0.5000
```

***

(3)
Ta2P: optimized geometry, PBEsol.

Output
Raw total energy: -9.68 eV/atom
ΔH_f (0 K): 613 meV/atom
Mass density: 12.95 g cm⁻³

CIF file:
```
data_Ta2P
_chemical_formula_sum 'Ta2 P1'
_symmetry_space_group_name_H-M 'P 6/m m m'
_symmetry_Int_Tables_number 191
_symmetry_space_group_name_Hall '-P 6 2'
_cell_length_a 4.6208
_cell_length_b 4.6208
_cell_length_c 2.7245
_cell_angle_alpha 90.00
_cell_angle_beta 90.00
_cell_angle_gamma 120.00
loop_
_atom_site_label
_atom_site_type_symbol
_atom_site_fract_x
_atom_site_fract_y
_atom_site_fract_z
Ta1 Ta 0.3333 0.6667 0.0000
P1 P 0.0000 0.0000 0.5000
```

***

(4)
CaZn2Hg2: optimized geometry, PBEsol.

Output
Raw total energy: -1.56 eV/atom
ΔH_f (0 K): -278 meV/atom
Mass density: 8.95 g cm⁻³

CIF file:
```
data_CaZn2Hg2
_chemical_formula_sum 'Ca2 Zn4 Hg4'
_symmetry_space_group_name_H-M 'I 4/m m m'
_symmetry_Int_Tables_number 139
_symmetry_space_group_name_Hall '-I 4 2'
_cell_length_a 4.118
_cell_length_b 4.118
_cell_length_c 12.513
_cell_angle_alpha 90.00
_cell_angle_beta 90.00
_cell_angle_gamma 90.00
loop_
_atom_site_label
_atom_site_type_symbol
_atom_site_fract_x
_atom_site_fract_y
_atom_site_fract_z
Ca1 Ca 0.000 0.000 0.000
Zn1 Zn 0.000 0.500 0.250
Hg1 Hg 0.000 0.000 0.388
```

***

(5)
WSCl4: optimized geometry, PBEsol.

Output
Raw total energy: -5.13 eV/atom
Uncorrected formation energy: -763 meV per atom
Mass density: 3.78 g cm⁻³

CIF file:
```
data_WSCl4
_chemical_formula_sum 'W2 S2 Cl8'
_symmetry_space_group_name_H-M 'P -1'
_symmetry_Int_Tables_number 2
_symmetry_space_group_name_Hall '-P 1'
_cell_length_a 6.175
_cell_length_b 6.927
_cell_length_c 8.137
_cell_angle_alpha 100.77
_cell_angle_beta 111.05
_cell_angle_gamma 94.89
loop_
_atom_site_label
_atom_site_type_symbol
_atom_site_fract_x
_atom_site_fract_y
_atom_site_fract_z
W1 W 0.081 0.248 0.216
S1 S 0.016 0.479 0.704
Cl1 Cl 0.157 0.962 0.712
Cl2 Cl 0.196 0.855 0.084
Cl3 Cl 0.344 0.343 0.096
Cl4 Cl 0.388 0.232 0.468
```

***

(6)
Sr2Li2NiO4: optimized geometry, PBEsol.

Output
Raw total energy: -5.77 eV/atom
Uncorrected formation energy: -1906 meV per atom
Mass density: 4.63 g cm⁻³

CIF file:
```
data_Sr2Li2NiO4
_chemical_formula_sum 'Sr4 Li4 Ni2 O8'
_symmetry_space_group_name_H-M 'P -1'
_symmetry_Int_Tables_number 2
_symmetry_space_group_name_Hall '-P 1'
_cell_length_a 5.309
_cell_length_b 5.420
_cell_length_c 8.265
_cell_angle_alpha 105.42
_cell_angle_beta 97.52
_cell_angle_gamma 97.86
loop_
_atom_site_label
_atom_site_type_symbol
_atom_site_fract_x
_atom_site_fract_y
_atom_site_fract_z
Sr1 Sr 0.167 0.154 0.195
Sr2 Sr 0.272 0.782 0.523
Li1 Li 0.202 0.621 0.046
Li2 Li 0.412 0.116 0.912
Ni1 Ni 0.290 0.390 0.742
O1 O 0.123 0.268 0.921
O2 O 0.212 0.295 0.498
O3 O 0.326 0.753 0.861
O4 O 0.427 0.812 0.263
```

***

(7)
Hg2Te2O7: optimized geometry, PBEsol.

Output
Raw total energy: -4.84 eV/atom
Relative energy among the computed polymorphs: 0.003 eV per atom
Uncorrected formation energy: -760 meV per atom
Mass density: 8.54 g cm⁻³

CIF file:
```
data_Hg2Te2O7
_chemical_formula_sum 'Hg16 Te16 O56'
_symmetry_space_group_name_H-M 'C 1 2/c 1'
_symmetry_Int_Tables_number 15
_symmetry_space_group_name_Hall '-C 2yc'
_cell_length_a 13.003
_cell_length_b 7.418
_cell_length_c 13.425
_cell_angle_alpha 90.00
_cell_angle_beta 112.65
_cell_angle_gamma 90.00
loop_
_atom_site_label
_atom_site_type_symbol
_atom_site_fract_x
_atom_site_fract_y
_atom_site_fract_z
Hg1 Hg 0.000 0.198 0.250
Hg2 Hg 0.000 0.273 0.750
Hg3 Hg 0.250 0.250 0.000
Hg4 Hg 0.250 0.250 0.500
Te1 Te 0.000 0.000 0.000
Te2 Te 0.000 0.500 0.000
Te3 Te 0.227 0.494 0.252
O1 O 0.037 0.251 0.550
O2 O 0.054 0.440 0.153
O3 O 0.074 0.024 0.401
O4 O 0.142 0.073 0.109
O5 O 0.151 0.480 0.008
O6 O 0.170 0.292 0.799
O7 O 0.192 0.300 0.328
```

***

(8)
InCoI2N: optimized geometry, PBEsol.

Output
Raw total energy: -4.35 eV/atom
Uncorrected formation energy: 206 meV per atom
Mass density: 6.84 g cm⁻³

CIF file:
```
data_InCoI2N
_chemical_formula_sum 'In1 Co1 I2 N1'
_symmetry_space_group_name_H-M 'P 4/m m m'
_symmetry_Int_Tables_number 123
_symmetry_space_group_name_Hall '-P 4 2'
_cell_length_a 5.522
_cell_length_b 5.522
_cell_length_c 3.515
_cell_angle_alpha 90.00
_cell_angle_beta 90.00
_cell_angle_gamma 90.00
loop_
_atom_site_label
_atom_site_type_symbol
_atom_site_fract_x
_atom_site_fract_y
_atom_site_fract_z
In1 In 0.000 0.000 0.000
Co1 Co 0.500 0.500 0.500
I1 I 0.000 0.500 0.500
N1 N 0.500 0.500 0.000
```

***

Copy entry 7 word for word.
Hg2Te2O7: optimized geometry, PBEsol.

Output
Raw total energy: -4.84 eV/atom
Relative energy among the computed polymorphs: 0.003 eV per atom
Uncorrected formation energy: -760 meV per atom
Mass density: 8.54 g cm⁻³

CIF file:
```
data_Hg2Te2O7
_chemical_formula_sum 'Hg16 Te16 O56'
_symmetry_space_group_name_H-M 'C 1 2/c 1'
_symmetry_Int_Tables_number 15
_symmetry_space_group_name_Hall '-C 2yc'
_cell_length_a 13.003
_cell_length_b 7.418
_cell_length_c 13.425
_cell_angle_alpha 90.00
_cell_angle_beta 112.65
_cell_angle_gamma 90.00
loop_
_atom_site_label
_atom_site_type_symbol
_atom_site_fract_x
_atom_site_fract_y
_atom_site_fract_z
Hg1 Hg 0.000 0.198 0.250
Hg2 Hg 0.000 0.273 0.750
Hg3 Hg 0.250 0.250 0.000
Hg4 Hg 0.250 0.250 0.500
Te1 Te 0.000 0.000 0.000
Te2 Te 0.000 0.500 0.000
Te3 Te 0.227 0.494 0.252
O1 O 0.037 0.251 0.550
O2 O 0.054 0.440 0.153
O3 O 0.074 0.024 0.401
O4 O 0.142 0.073 0.109
O5 O 0.151 0.480 0.008
O6 O 0.170 0.292 0.799
O7 O 0.192 0.300 0.328
```